Below is a relaxed structure of Ta3SbC2, with properties calculated at the PBE-GGA level.

Output
The value obtained for the magnetization is 0.00 μB per formula unit. Its crystal system is hexagonal. As for the symmetry: No. 194. For the total energy, the calculation gives -0.7374 Ry per atom.

Cell: 3.262 3.262 18.635 Å, 90.00 90.00 120.00°
Fractional coordinates of all 12 atoms:
Ta  0.000  0.000  0.000
Ta  0.667  0.333  0.371
Ta  0.000  0.000  0.500
Ta  0.333  0.667  0.629
Ta  0.667  0.333  0.129
Ta  0.333  0.667  0.871
C  0.667  0.333  0.930
C  0.333  0.667  0.430
C  0.333  0.667  0.070
C  0.667  0.333  0.570
Sb  0.000  0.000  0.750
Sb  0.000  0.000  0.250